Hg2Pt | meta-GGA SCAN | PBEsol geometry

Computed properties:
E above lowest polymorph ... 0.0342 eV per atom
Space group ... Cmc2_1
Spin magnetization ... 0.0 μB/f.u.
Energy relative to the elements ... -0.0133 eV/atom
Fermi-level density of states ... 3.17 states/eV/cell

```
Hg2Pt
1.0
2.9129 0.0000 0.0000
0.0000 13.6847 0.0000
0.0000 0.0000 6.8873
Hg Pt
8 4
Direct
0.0000 0.0047 0.0000
0.0000 0.2461 0.5194
0.0000 0.7539 0.0194
0.0000 0.9953 0.5000
0.5000 0.2539 0.0194
0.5000 0.4953 0.5000
0.5000 0.5047 0.0000
0.5000 0.7461 0.5194
0.0000 0.3845 0.2443
0.0000 0.6155 0.7443
0.5000 0.1155 0.7443
0.5000 0.8845 0.2443
```

---

Al7Ag | meta-GGA SCAN | PBEsol geometry

Computed properties:
E above lowest polymorph ... 0.0098 eV per atom
Space group ... P2/m
Spin magnetization ... 0.1 μB/f.u.
Energy relative to the elements ... -0.0200 eV/atom
Fermi-level density of states ... 3.00 states/eV/cell

```
Al7Ag
1.0
4.8629 0.0000 0.0000
0.0000 2.8799 0.0000
-1.7195 0.0000 9.2617
Al Ag
7 1
Direct
0.0000 0.0000 0.0000
0.0000 0.5000 0.5000
0.2487 0.0000 0.7498
0.2505 0.5000 0.2518
0.5000 0.0000 0.5000
0.7495 0.5000 0.7482
0.7513 0.0000 0.2502
0.5000 0.5000 0.0000
```

---

YZrAl2 | meta-GGA SCAN | PBEsol geometry

Computed properties:
E above lowest polymorph ... 0.0085 eV per atom
Space group ... P4/mmm
Spin magnetization ... 0.0 μB/f.u.
Energy relative to the elements ... -0.4138 eV/atom
Fermi-level density of states ... 2.79 states/eV/cell

```
YZrAl2
1.0
3.1324 0.0000 0.0000
0.0000 3.1324 0.0000
0.0000 0.0000 8.3230
Y Zr Al
1 1 2
Direct
0.0000 0.0000 0.0000
0.0000 0.0000 0.5000
0.5000 0.5000 0.2640
0.5000 0.5000 0.7360
```

---

Hg2HI | meta-GGA SCAN | PBEsol geometry

Computed properties:
VASP energy ... -43.911 eV/atom
Space group ... I-42d
Spin magnetization ... 0.0 μB/f.u.
Fermi-level density of states ... 1.17 states/eV/cell

```
Hg2HI
1.0
5.3404 0.0000 0.0000
0.0000 5.3404 0.0000
0.0000 0.0000 13.5665
Hg H I
8 4 4
Direct
0.0606 0.2500 0.1250
0.2500 0.5606 0.3750
0.2500 0.9394 0.8750
0.4394 0.2500 0.6250
0.5606 0.7500 0.6250
0.7500 0.0606 0.8750
0.7500 0.4394 0.3750
0.9394 0.7500 0.1250
0.0000 0.0000 0.0000
0.0000 0.5000 0.2500
0.5000 0.0000 0.7500
0.5000 0.5000 0.5000
0.0000 0.0000 0.5000
0.0000 0.5000 0.7500
0.5000 0.0000 0.2500
0.5000 0.5000 0.0000
```

---

LaNb2CdPd | meta-GGA SCAN | PBEsol geometry

Computed properties:
Space group ... P4/mmm
Spin magnetization ... 0.0 μB/f.u.
Energy relative to the elements ... 1.5658 eV/atom
Fermi-level density of states ... 3.80 states/eV/cell

```
LaNb2CdPd
1.0
4.9093 0.0000 0.0000
0.0000 4.9093 0.0000
0.0000 0.0000 4.9622
La Nb Cd Pd
1 2 1 1
Direct
0.0000 0.0000 0.0000
0.0000 0.5000 0.0000
0.5000 0.0000 0.0000
0.5000 0.5000 0.5000
0.0000 0.0000 0.5000
```

---

LiAl2Ag | meta-GGA SCAN | PBEsol geometry

Computed properties:
E above lowest polymorph ... 0.0649 eV per atom
Space group ... Cm
Spin magnetization ... 0.0 μB/f.u.
Energy relative to the elements ... -0.1205 eV/atom
Fermi-level density of states ... 2.88 states/eV/cell

```
LiAl2Ag
1.0
9.2140 0.0000 0.0000
0.0000 2.8279 0.0000
-0.7025 0.0000 4.8629
Li Al Ag
2 4 2
Direct
0.0000 0.0000 0.0000
0.5000 0.5000 0.0000
0.9998 0.5000 0.4972
0.2564 0.5000 0.2561
0.4998 0.0000 0.4972
0.7564 0.0000 0.2561
0.2452 0.0000 0.7622
0.7452 0.5000 0.7622
```

---

LiTcSb2 | meta-GGA SCAN | PBEsol geometry

Computed properties:
E above lowest polymorph ... 0.2615 eV per atom
Space group ... P4mm
Formation energy from raw total energies ... 0.3 eV per formula unit
Spin magnetization ... 0.0 μB/f.u.
Fermi-level density of states ... 2.72 states/eV/cell

```
LiTcSb2
1.0
3.5807 0.0000 0.0000
0.0000 3.5807 0.0000
0.0000 0.0000 5.6550
Li Tc Sb
1 1 2
Direct
0.0000 0.0000 0.0000
0.5000 0.5000 0.7081
0.0000 0.0000 0.5319
0.5000 0.5000 0.1898
```

---

TaRh2W | meta-GGA SCAN | PBEsol geometry

Computed properties:
E above lowest polymorph ... 0.3167 eV per atom
Space group ... R3m
Spin magnetization ... 0.0 μB/f.u.
Energy relative to the elements ... -0.0459 eV/atom
Fermi-level density of states ... 9.59 states/eV/cell

```
TaRh2W
1.0
2.7778 0.0000 0.0000
-1.3889 2.4056 0.0000
0.0000 0.0000 27.2959
Ta Rh W
3 6 3
Direct
0.0000 0.0000 0.0000
0.3333 0.6667 0.6667
0.6667 0.3333 0.3333
0.0000 0.0000 0.2537
0.0000 0.0000 0.5026
0.3333 0.6667 0.1693
0.3333 0.6667 0.9204
0.6667 0.3333 0.5870
0.6667 0.3333 0.8359
0.0000 0.0000 0.7591
0.3333 0.6667 0.4258
0.6667 0.3333 0.0924
```